Here is a relaxed structure of LiZn2Cl from Alexandria. Energies are from PBE-GGA.

Cell: 5.148 5.148 5.148 Å, 129.63 129.63 74.00°
Positions (direct):
Cl: 0.500 0.500 0.000
Li: 0.750 0.250 0.500
Zn: 0.000 0.000 0.000
Zn: 0.250 0.750 0.500

Output
**Raw total energy**: -0.1331 Ry per atom
**Energy above the lowest structure with this stoichiometry**: 1.35 eV per formula unit
**Space group**: I-4m2 (119)
**Raw formation energy**: -0.2343 eV per atom